[1]
VASP calculation (PBE-GGA) on crystalline Ca2TcMo at its relaxed geometry.

Total moment, μB/f.u.: 0.00
Total energy, eV/atom: -5.88

a b c (Å): 8.062 3.296 7.865
angles (deg): 90.00 95.22 90.00
Space group Cm (No. 8)
Inequivalent atoms, fractional coordinates:
Ca: 0.000 0.000 0.000 [2 per cell]
Ca: 0.215 0.000 0.603 [2 per cell]
Tc: 0.247 0.500 0.244 [2 per cell]
Mo: 0.462 0.000 0.352 [2 per cell]



[2]
VASP calculation (PBE-GGA) on crystalline CaTcMo2 at its relaxed geometry.

Total moment, μB/f.u.: 0.00
Total energy, eV/atom: -7.83

a b c (Å): 6.482 6.482 6.482
angles (deg): 90.00 90.00 90.00
Space group Fm-3m (No. 225)
Inequivalent atoms, fractional coordinates:
Ca: 0.000 0.000 0.000 [4 per cell]
Tc: 0.000 0.000 0.500 [4 per cell]
Mo: 0.250 0.250 0.250 [8 per cell]



[3]
VASP calculation (PBE-GGA) on crystalline Ca2TcMo at its relaxed geometry.

Total moment, μB/f.u.: 0.00
Total energy, eV/atom: -4.99

a b c (Å): 8.116 8.116 5.385
angles (deg): 90.00 90.00 90.00
Space group I-42d (No. 122)
Inequivalent atoms, fractional coordinates:
Ca: 0.231 0.250 0.125 [8 per cell]
Tc: 0.000 0.000 0.000 [4 per cell]
Mo: 0.000 0.000 0.500 [4 per cell]



[4]
VASP calculation (PBE-GGA) on crystalline CaTcMo at its relaxed geometry.

Total moment, μB/f.u.: 0.00
Total energy, eV/atom: -7.02

a b c (Å): 2.671 5.089 8.194
angles (deg): 90.00 90.00 90.00
Space group Imm2 (No. 44)
Inequivalent atoms, fractional coordinates:
Ca: 0.000 0.000 0.000 [2 per cell]
Tc: 0.000 0.000 0.349 [2 per cell]
Mo: 0.000 0.000 0.650 [2 per cell]



[5]
VASP calculation (PBE-GGA) on crystalline CaTcMo2 at its relaxed geometry.

Total moment, μB/f.u.: 0.00
Total energy, eV/atom: -7.69

a b c (Å): 3.837 3.837 9.522
angles (deg): 90.00 90.00 90.00
Space group I4/mmm (No. 139)
Inequivalent atoms, fractional coordinates:
Ca: 0.000 0.000 0.000 [2 per cell]
Tc: 0.000 0.000 0.500 [2 per cell]
Mo: 0.000 0.500 0.250 [4 per cell]



[6]
VASP calculation (PBE-GGA) on crystalline CaTcMo2 at its relaxed geometry.

Total moment, μB/f.u.: 0.00
Total energy, eV/atom: -7.91

a b c (Å): 3.1038 3.1038 26.8848
angles (deg): 90.00 90.00 120.00
Space group R3m (No. 160, hexagonal axes)
Inequivalent atoms, fractional coordinates:
Ca: 0.0000 0.0000 0.0000 [3 per cell]
Tc: 0.0000 0.0000 0.7598 [3 per cell]
Mo: 0.0000 0.0000 0.2333 [3 per cell]
Mo: 0.0000 0.0000 0.4968 [3 per cell]



[7]
VASP calculation (PBE-GGA) on crystalline CaTcMo2 at its relaxed geometry.

Total moment, μB/f.u.: 0.00
Total energy, eV/atom: -7.63

a b c (Å): 3.853 3.853 4.760
angles (deg): 90.00 90.00 90.00
Space group P4/mmm (No. 123)
Inequivalent atoms, fractional coordinates:
Ca: 0.000 0.000 0.000 [1 per cell]
Tc: 0.500 0.500 0.000 [1 per cell]
Mo: 0.000 0.500 0.500 [2 per cell]



[8]
VASP calculation (PBE-GGA) on crystalline CaTcMo3 at its relaxed geometry.

Total moment, μB/f.u.: 1.75
Total energy, eV/atom: -7.75

a b c (Å): 4.799 4.799 4.799
angles (deg): 90.00 90.00 90.00
Space group Pm-3m (No. 221)
Inequivalent atoms, fractional coordinates:
Ca: 0.000 0.000 0.000 [1 per cell]
Tc: 0.500 0.500 0.500 [1 per cell]
Mo: 0.000 0.500 0.500 [3 per cell]



[9]
VASP calculation (PBE-GGA) on crystalline CaTcMo2 at its relaxed geometry.

Total moment, μB/f.u.: 0.00
Total energy, eV/atom: -7.96

a b c (Å): 3.004 4.013 6.701
angles (deg): 90.00 98.93 90.00
Space group P2/m (No. 10)
Inequivalent atoms, fractional coordinates:
Ca: 0.000 0.000 0.000 [1 per cell]
Tc: 0.000 0.000 0.500 [1 per cell]
Mo: 0.426 0.500 0.673 [2 per cell]



[10]
VASP calculation (PBE-GGA) on crystalline CaTcMo2 at its relaxed geometry.

Total moment, μB/f.u.: 0.00
Total energy, eV/atom: -7.98

a b c (Å): 10.057 3.162 5.140
angles (deg): 90.00 108.39 90.00
Space group C2/m (No. 12)
Inequivalent atoms, fractional coordinates:
Ca: 0.000 0.000 0.000 [2 per cell]
Tc: 0.000 0.500 0.500 [2 per cell]
Mo: 0.214 0.000 0.661 [4 per cell]



[11]
VASP calculation (PBE-GGA) on crystalline CaTcMo2 at its relaxed geometry.

Total moment, μB/f.u.: 0.00
Total energy, eV/atom: -8.05

a b c (Å): 3.252 4.584 9.482
angles (deg): 90.00 90.00 90.00
Space group Cmm2 (No. 35)
Inequivalent atoms, fractional coordinates:
Ca: 0.000 0.000 0.000 [2 per cell]
Tc: 0.000 0.500 0.270 [2 per cell]
Mo: 0.000 0.000 0.489 [2 per cell]
Mo: 0.000 0.500 0.715 [2 per cell]



[12]
VASP calculation (PBE-GGA) on crystalline CaTcMo at its relaxed geometry.

Total moment, μB/f.u.: 0.22
Total energy, eV/atom: -5.62

a b c (Å): 6.476 6.476 6.476
angles (deg): 90.00 90.00 90.00
Space group F-43m (No. 216)
Inequivalent atoms, fractional coordinates:
Ca: 0.000 0.000 0.000 [4 per cell]
Tc: 0.250 0.250 0.750 [4 per cell]
Mo: 0.250 0.250 0.250 [4 per cell]